[1]
Material: Pr5DyHo3
Method: DFT, PBE-GGA
State: optimized geometry

Structure (POSCAR):
```
Pr5DyHo3
1.0
-4.6894 4.6894 7.1645
4.6894 -4.6894 7.1645
4.6894 4.6894 -7.1645
Pr Dy Ho
10 2 6
direct
0.0000 0.0000 0.0000 Pr
0.0687 0.5687 0.9030 Pr
0.1657 0.0687 0.5000 Pr
0.3343 0.8343 0.9030 Pr
0.4313 0.3343 0.5000 Pr
0.5000 0.5000 0.0000 Pr
0.5687 0.6657 0.5000 Pr
0.6657 0.1657 0.0970 Pr
0.8343 0.9313 0.5000 Pr
0.9313 0.4313 0.0970 Pr
0.2500 0.7500 0.5000 Dy
0.7500 0.2500 0.5000 Dy
0.1093 0.3907 0.5000 Ho
0.2500 0.2500 0.0000 Ho
0.3907 0.8907 0.2815 Ho
0.6093 0.1093 0.7185 Ho
0.7500 0.7500 0.0000 Ho
0.8907 0.6093 0.5000 Ho
```

ΔE_f: 0.308 eV per atom
Offset from the most stable computed form: 39 meV/atom

---

[2]
Material: Ba2CaTaN4
Method: DFT, PBE-GGA
State: optimized geometry

Structure (POSCAR):
```
Ba2CaTaN4
1.0
8.0343 0.0000 0.0000
0.0000 6.4507 0.0000
0.0000 0.0000 6.3335
Ba Ca Ta N
4 2 2 8
direct
0.2460 0.2292 0.0000 Ba
0.2540 0.7708 0.5000 Ba
0.7460 0.7708 0.5000 Ba
0.7540 0.2292 0.0000 Ba
0.0000 0.7654 0.9994 Ca
0.5000 0.2346 0.4994 Ca
0.0000 0.2071 0.4992 Ta
0.5000 0.7929 0.9992 Ta
0.0000 0.0191 0.2580 N
0.0000 0.0211 0.7422 N
0.2145 0.3565 0.4976 N
0.2855 0.6435 0.9976 N
0.5000 0.9789 0.2422 N
0.5000 0.9809 0.7580 N
0.7145 0.6435 0.9976 N
0.7855 0.3565 0.4976 N
```

Formation energy without anion corrections: -0.85 eV/atom

---

[3]
Material: SmZn9Rh2
Method: DFT, PBE-GGA
State: optimized geometry

Structure (POSCAR):
```
SmZn9Rh2
1.0
8.6798 0.0000 0.0000
-4.3399 7.5169 0.0000
0.0000 0.0000 3.0325
Sm Zn Rh
1 9 2
direct
0.0000 0.0000 0.0000 Sm
0.0000 0.5000 0.0000 Zn
0.1874 0.3748 0.5000 Zn
0.1874 0.8126 0.5000 Zn
0.3748 0.1874 0.5000 Zn
0.5000 0.0000 0.0000 Zn
0.5000 0.5000 0.0000 Zn
0.6252 0.8126 0.5000 Zn
0.8126 0.1874 0.5000 Zn
0.8126 0.6252 0.5000 Zn
0.3333 0.6667 0.0000 Rh
0.6667 0.3333 0.0000 Rh
```

ΔE_f: -0.256 eV per atom
Offset from the most stable computed form: 79 meV/atom

---

[4]
Material: TlI2N2
Method: DFT, PBE-GGA
State: optimized geometry

Structure (POSCAR):
```
TlI2N2
1.0
6.5930 0.0000 0.0000
0.0000 6.5879 0.0000
-0.8901 0.0000 9.9254
Tl I N
2 4 4
direct
0.0000 0.0000 0.0000 Tl
0.5000 0.5000 0.0000 Tl
0.0223 0.5000 0.1628 I
0.4777 0.0000 0.8372 I
0.5223 0.0000 0.1628 I
0.9777 0.5000 0.8372 I
0.0793 0.0000 0.4849 N
0.4207 0.5000 0.5151 N
0.5793 0.5000 0.4849 N
0.9207 0.0000 0.5151 N
```

Formation energy without anion corrections: -0.14 eV/atom
Offset from the most stable computed form: 0 meV/atom

---

[5]
Material: Er6BiSe3S2
Method: DFT, PBE-GGA
State: optimized geometry

Structure (POSCAR):
```
Er6BiSe3S2
1.0
8.8480 -2.0249 0.0000
8.8480 2.0249 0.0000
-1.9265 0.0000 7.9210
Er Bi Se S
6 1 3 2
direct
0.0121 0.0121 0.2746 Er
0.3246 0.3246 0.8848 Er
0.3281 0.3281 0.4277 Er
0.6719 0.6719 0.5723 Er
0.6754 0.6754 0.1152 Er
0.9879 0.9879 0.7254 Er
0.5000 0.5000 0.0000 Bi
0.1614 0.1614 0.8353 Se
0.5000 0.5000 0.5000 Se
0.8386 0.8386 0.1647 Se
0.1703 0.1703 0.3411 S
0.8297 0.8297 0.6589 S
```

Formation energy without anion corrections: -1.59 eV/atom

---

[6]
Material: Na12Sn7Hg
Method: DFT, PBE-GGA
State: optimized geometry

Structure (POSCAR):
```
Na12Sn7Hg
1.0
6.7873 3.9187 3.6018
-6.7873 3.9187 3.6018
0.0000 -7.8373 3.6018
Na Sn Hg
12 7 1
direct
0.0287 0.7593 0.2630 Na
0.1452 0.2053 0.4142 Na
0.2053 0.4142 0.1452 Na
0.2407 0.7370 0.9713 Na
0.2630 0.0287 0.7593 Na
0.4142 0.1452 0.2053 Na
0.5858 0.8548 0.7947 Na
0.7370 0.9713 0.2407 Na
0.7593 0.2630 0.0287 Na
0.7947 0.5858 0.8548 Na
0.8548 0.7947 0.5858 Na
0.9713 0.2407 0.7370 Na
0.0000 0.0000 0.0000 Sn
0.1923 0.6139 0.5703 Sn
0.3861 0.4297 0.8077 Sn
0.4297 0.8077 0.3861 Sn
0.5703 0.1923 0.6139 Sn
0.6139 0.5703 0.1923 Sn
0.8077 0.3861 0.4297 Sn
0.5000 0.5000 0.5000 Hg
```

ΔE_f: -0.130 eV per atom

---

[7]
Material: Tb2SiGe2Rh5
Method: DFT, PBE-GGA
State: optimized geometry

Structure (POSCAR):
```
Tb2SiGe2Rh5
1.0
9.7440 0.0000 0.0000
0.0000 9.7440 0.0000
0.0000 0.0000 3.5232
Tb Si Ge Rh
4 2 4 10
direct
0.1739 0.3261 0.0000 Tb
0.3261 0.8261 0.0000 Tb
0.6739 0.1739 0.0000 Tb
0.8261 0.6739 0.0000 Tb
0.0000 0.0000 0.0000 Si
0.5000 0.5000 0.0000 Si
0.1258 0.6258 0.0000 Ge
0.3742 0.1258 0.0000 Ge
0.6258 0.8742 0.0000 Ge
0.8742 0.3742 0.0000 Ge
0.0000 0.5000 0.5000 Rh
0.0637 0.7985 0.5000 Rh
0.2015 0.0637 0.5000 Rh
0.2985 0.5637 0.5000 Rh
0.4363 0.2985 0.5000 Rh
0.5000 0.0000 0.5000 Rh
0.5637 0.7015 0.5000 Rh
0.7015 0.4363 0.5000 Rh
0.7985 0.9363 0.5000 Rh
0.9363 0.2015 0.5000 Rh
```

Formation energy without anion corrections: -0.77 eV/atom

---

[8]
Material: Te2SeBr
Method: DFT, PBE-GGA
State: optimized geometry

Structure (POSCAR):
```
Te2SeBr
1.0
4.0556 0.0000 0.0000
-2.0278 3.5123 0.0000
0.0000 0.0000 27.8478
Te Se Br
6 3 3
direct
0.0000 0.0000 0.1018 Te
0.0000 0.0000 0.8982 Te
0.3333 0.6667 0.5648 Te
0.3333 0.6667 0.7685 Te
0.6667 0.3333 0.2315 Te
0.6667 0.3333 0.4352 Te
0.0000 0.0000 0.5000 Se
0.3333 0.6667 0.1667 Se
0.6667 0.3333 0.8333 Se
0.0000 0.0000 0.0000 Br
0.3333 0.6667 0.6667 Br
0.6667 0.3333 0.3333 Br
```

Formation energy without anion corrections: 0.12 eV/atom
Offset from the most stable computed form: 180 meV/atom

---

Computed volume, in the same sequence as the records: 630.2; 328.2; 197.9; 431.1; 283.8; 574.8; 334.5; 396.7 Å³ per cell.